Entry 1:
VASP calculation (GGA-PBE) on a geometry-optimized Mg5Zn4 structure.

abc: 8.220 8.220 5.816
angles: 90.00 90.00 120.00
Fractional coordinates of all 18 atoms:
Mg (0.000, 0.297, 0.250)
Mg (0.000, 0.703, 0.750)
Mg (0.297, 0.000, 0.250)
Mg (0.297, 0.297, 0.750)
Mg (0.333, 0.667, 0.000)
Mg (0.333, 0.667, 0.500)
Mg (0.667, 0.333, 0.000)
Mg (0.667, 0.333, 0.500)
Mg (0.703, 0.000, 0.750)
Mg (0.703, 0.703, 0.250)
Zn (0.000, 0.000, 0.000)
Zn (0.000, 0.000, 0.500)
Zn (0.000, 0.369, 0.750)
Zn (0.000, 0.631, 0.250)
Zn (0.369, 0.000, 0.750)
Zn (0.369, 0.369, 0.250)
Zn (0.631, 0.000, 0.250)
Zn (0.631, 0.631, 0.750)

DOS at the Fermi energy (states/eV/f.u.): 3.81
VASP energy (eV/atom): -1.494
Relative energy among the computed polymorphs (eV per formula unit): 0.00



Entry 2:
VASP calculation (GGA-PBE) on a geometry-optimized Bi2S13 structure.

abc: 5.797 6.902 13.336
angles: 95.64 94.23 108.41
Fractional coordinates of all 15 atoms:
Bi (0.000, 0.000, 0.000)
Bi (0.128, 0.463, 0.975)
S (0.104, 0.170, 0.264)
S (0.205, 0.886, 0.584)
S (0.251, 0.480, 0.325)
S (0.308, 0.455, 0.796)
S (0.429, 0.983, 0.459)
S (0.537, 0.829, 0.163)
S (0.548, 0.561, 0.084)
S (0.586, 0.041, 0.059)
S (0.679, 0.542, 0.812)
S (0.771, 0.081, 0.522)
S (0.835, 0.856, 0.811)
S (0.869, 0.797, 0.515)
S (0.940, 0.378, 0.217)

E_form (uncorrected) (meV/atom): 106
VASP energy (eV/atom): -3.989



Entry 3:
VASP calculation (GGA-PBE) on a geometry-optimized Pr2DyI2N2 structure.

abc: 10.281 10.281 10.281
angles: 154.62 154.62 36.20
Fractional coordinates of all 7 atoms:
Pr (0.077, 0.077, 0.000)
Pr (0.923, 0.923, 0.000)
Dy (0.500, 0.500, 0.000)
I (0.337, 0.337, 0.000)
I (0.663, 0.663, 0.000)
N (0.000, 0.500, 0.500)
N (0.500, 0.000, 0.500)

E_form (uncorrected) (meV/atom): -1236
DOS at the Fermi energy (states/eV/f.u.): 1.84
VASP energy (eV/atom): -6.081



Number 1: volume 18.91 A^3/atom. Number 2: volume 33.38 A^3/atom. Number 3: volume 28.48 A^3/atom.